Here is a geometry-optimized Cs2NdNi3F12 structure from Alexandria via LeMat-Bulk. Energies are from GGA+U.

Unit cell a=7.4647 b=7.4647 c=18.6925 alpha=90.00 beta=90.00 gamma=120.00
With the nearest neighbours (Å) after each atom.
Space group R-3m (No. 166, hexagonal axes)
Symmetry-distinct sites (fractional):
1 Cs 0.0000 0.0000 0.1117  9 F 3.12-3.40
2 Nd 0.0000 0.0000 0.5000  6 F 2.31
3 Ni 0.0000 0.5000 0.0000  6 F 1.95-2.02
4 F 0.0199 0.5100 0.1078  1 Ni 2.02
5 F 0.0781 0.5390 0.3346  2 Ni 1.95

Calculated values
The density of states at the Fermi level comes out at 0.147 states/eV/atom. Its raw total energy is -4.691 eV/atom. The value obtained for the volume is 902.0 Å³/cell.